1.
# Cd3Br

A crystal of Cd3Br relaxed with PBEsol (meta-GGA SCAN, Alexandria via LeMat-Bulk).

Its theoretical density is 7.3 g/cm3. As for the magnetization: 0.00 μB/f.u. The density of states at the Fermi level is 0.33 states/eV/atom. The volume is 95.2 Å³ per cell.

Geometry as POSCAR:
```
Cd3Br
1.0
-0.865 -0.015 3.627
-2.554 -4.539 -0.629
5.052 -0.746 1.202
Cd Br
3 1
Direct
0.000 0.500 0.500 Cd
0.500 0.500 0.000 Cd
0.500 0.000 0.500 Cd
0.000 0.000 0.000 Br
```

***

2.
# Cd3Br

A crystal of Cd3Br relaxed with PBEsol (meta-GGA SCAN, Alexandria via LeMat-Bulk).

Its theoretical density is 7.2 g/cm3. As for the magnetization: 0.00 μB/f.u. The density of states at the Fermi level is 0.38 states/eV/atom. The volume is 95.7 Å³ per cell.

Geometry as POSCAR:
```
Cd3Br
1.0
-0.259 0.060 -3.426
-0.052 -5.748 -0.096
-4.673 2.882 2.127
Cd Br
3 1
Direct
0.500 0.416 0.000 Cd
0.244 0.661 0.487 Cd
0.756 0.173 0.513 Cd
0.000 0.916 0.000 Br
```

***

Which of them is most stable, and which least? Most stable: 2; least stable: 1.

***

1.
# CdCo2PBr

A crystal of CdCo2PBr relaxed with PBEsol (meta-GGA SCAN, Alexandria via LeMat-Bulk).

Its theoretical density is 6.0 g/cm3. As for the magnetization: 2.40 μB/f.u. The density of states at the Fermi level is 0.66 states/eV/atom. The volume is 94.0 Å³ per cell.

Geometry as POSCAR:
```
CdCo2PBr
1.0
-3.715 1.225 1.218
-1.644 -1.620 -3.385
-0.725 -4.864 2.680
Co Br P Cd
2 1 1 1
Direct
0.000 0.500 0.000 Co
0.500 0.000 0.000 Co
0.000 0.000 0.500 Br
0.000 0.000 0.000 P
0.500 0.500 0.500 Cd
```

***

2.
# CdCo2PBr

A crystal of CdCo2PBr relaxed with PBEsol (meta-GGA SCAN, Alexandria via LeMat-Bulk).

Its theoretical density is 6.0 g/cm3. As for the magnetization: 4.03 μB/f.u. The density of states at the Fermi level is 0.33 states/eV/atom. The volume is 94.2 Å³ per cell.

Geometry as POSCAR:
```
CdCo2PBr
1.0
-1.607 -2.144 -3.342
-3.074 -1.611 2.512
-3.013 4.003 -1.119
Co Br P Cd
2 1 1 1
Direct
0.000 0.500 0.000 Co
0.500 0.000 0.000 Co
0.500 0.500 0.500 Br
0.000 0.000 0.000 P
0.000 0.000 0.500 Cd
```

***

Which of them is most stable, and which least? Most stable: 2; least stable: 1.

***

1.
# Cd2CuBr

A crystal of Cd2CuBr relaxed with PBEsol (meta-GGA SCAN, Alexandria via LeMat-Bulk).

Its theoretical density is 7.2 g/cm3. As for the magnetization: 0.00 μB/f.u. The density of states at the Fermi level is 0.38 states/eV/atom. The volume is 85.4 Å³ per cell.

Geometry as POSCAR:
```
Cd2CuBr
1.0
-2.890 -1.587 3.684
1.840 -0.447 4.567
-1.418 3.131 3.554
Cd Br Cu
2 1 1
Direct
0.000 0.000 0.000 Cd
0.750 0.750 0.750 Cd
0.500 0.500 0.500 Br
0.250 0.250 0.250 Cu
```

***

2.
# Cd2CuBr

A crystal of Cd2CuBr relaxed with PBEsol (meta-GGA SCAN, Alexandria via LeMat-Bulk).

Its theoretical density is 7.5 g/cm3. As for the magnetization: 0.00 μB/f.u. The density of states at the Fermi level is 0.48 states/eV/atom. The volume is 81.7 Å³ per cell.

Geometry as POSCAR:
```
Cd2CuBr
1.0
-0.092 4.371 -2.708
1.191 -2.617 -4.265
-3.005 -0.422 -0.580
Cd Br Cu
2 1 1
Direct
0.000 0.500 0.000 Cd
0.500 0.000 0.000 Cd
0.000 0.000 0.500 Br
0.500 0.500 0.500 Cu
```

***

3.
# Cd2CuBr

A crystal of Cd2CuBr relaxed with PBEsol (meta-GGA SCAN, Alexandria via LeMat-Bulk).

Its theoretical density is 7.0 g/cm3. As for the magnetization: 0.00 μB/f.u. The density of states at the Fermi level is 0.19 states/eV/atom. The volume is 86.8 Å³ per cell.

Geometry as POSCAR:
```
Cd2CuBr
1.0
3.333 0.000 0.000
1.667 5.324 0.065
1.667 2.047 4.915
Cd Br Cu
2 1 1
Direct
0.773 0.227 0.227 Cd
0.227 0.773 0.773 Cd
0.000 0.500 0.500 Br
0.500 0.000 0.000 Cu
```

***

4.
# Cd2CuBr

A crystal of Cd2CuBr relaxed with PBEsol (meta-GGA SCAN, Alexandria via LeMat-Bulk).

Its theoretical density is 7.2 g/cm3. As for the magnetization: 0.00 μB/f.u. The density of states at the Fermi level is 0.26 states/eV/atom. The volume is 85.1 Å³ per cell.

Geometry as POSCAR:
```
Cd2CuBr
1.0
-1.469 1.666 -2.447
1.878 -2.697 -2.964
-4.588 -3.559 0.331
Cd Br Cu
2 1 1
Direct
0.000 0.000 0.000 Cd
0.500 0.500 0.000 Cd
0.000 0.500 0.500 Br
0.500 0.000 0.500 Cu
```

***

Which of them is most stable, and which least? Most stable: 3; least stable: 1.